(1)
The following is a DFT calculation (PBE) of a relaxed structure of Sm2GaNi.

DOS at the Fermi energy: 3.15 states/eV/cell
formation energy from the elements: -0.38 eV per atom
space group: No. 123

Geometry as POSCAR:
```
Sm2GaNi
1.0
3.6544 0.0000 0.0000
0.0000 4.9783 0.0000
0.0000 0.0000 4.9783
Ni Ga Sm
1 1 2
Cartesian
1.8272 2.4891 2.4891
1.8272 0.0000 0.0000
0.0000 0.0000 2.4891
0.0000 2.4891 0.0000
```

***

(2)
The following is a DFT calculation (PBE) of a relaxed structure of SmGa2Ni9.

DOS at the Fermi energy: 36.79 states/eV/cell
formation energy from the elements: -0.28 eV per atom
space group: No. 127

Geometry as POSCAR:
```
SmGa2Ni9
1.0
4.7919 0.0000 0.0000
0.0000 8.0557 0.0000
0.0000 0.0000 8.0557
Sm Ga Ni
2 4 18
Cartesian
0.0000 4.0279 4.0279
0.0000 0.0000 0.0000
0.0000 5.0092 0.9814
0.0000 3.0465 7.0744
0.0000 0.9814 3.0465
0.0000 7.0744 5.0092
2.3960 4.0279 0.0000
2.3960 0.0000 4.0279
2.3960 5.7138 4.5559
2.3960 2.3420 3.4999
2.3960 1.6859 7.5277
2.3960 6.3698 0.5280
2.3960 3.4999 5.7138
2.3960 4.5559 2.3420
2.3960 0.5280 1.6859
2.3960 7.5277 6.3698
3.6364 6.6324 2.6045
3.6364 1.4233 5.4512
3.6364 2.6045 1.4233
3.6364 5.4512 6.6324
1.1555 1.4233 5.4512
1.1555 6.6324 2.6045
1.1555 5.4512 6.6324
1.1555 2.6045 1.4233
```

***

(3)
The following is a DFT calculation (PBE) of a relaxed structure of SmGa4Ni2.

DOS at the Fermi energy: 13.56 states/eV/cell
formation energy from the elements: -0.53 eV per atom
space group: No. 62

Geometry as POSCAR:
```
SmGa4Ni2
1.0
-1.4392 -1.5122 -3.6380
-5.0000 -2.6123 3.0639
-8.9268 14.2704 -2.4005
Sm Ga Ni
4 16 8
Cartesian
-11.7148 5.3935 -1.2346
-3.6512 4.7523 -1.7400
-10.4908 10.6460 -1.4842
-4.8752 -0.5002 -1.4904
-7.9459 8.8317 -1.7368
-7.4201 1.3141 -1.2378
-12.1343 8.3182 -2.2843
-3.2316 1.8276 -0.6902
-9.8536 7.6198 -0.4783
-5.5124 2.5260 -2.4963
-9.2450 10.0430 -4.1444
-6.1210 0.1028 1.1698
-5.9815 6.7899 -1.6652
-9.3845 3.3558 -1.3094
-13.0629 10.9011 -2.9907
-2.3031 -0.7554 0.0161
-6.6585 4.3905 -0.3999
-8.7075 5.7553 -2.5746
-6.7421 -2.6850 0.1564
-8.6239 12.8308 -3.1310
-8.8923 5.3329 0.0920
-6.4737 4.8128 -3.0666
-10.9135 11.9603 -4.2813
-4.4524 -1.8145 1.3067
-12.2067 8.2508 0.1903
-3.1593 1.8950 -3.1648
-9.8438 7.8697 -3.0040
-5.5222 2.2761 0.0295
```

***

(4)
The following is a DFT calculation (PBE) of a relaxed structure of Sm12Ga6Ni.

DOS at the Fermi energy: 26.83 states/eV/cell
formation energy from the elements: -0.19 eV per atom
space group: No. 148

Geometry as POSCAR:
```
Sm12Ga6Ni
1.0
8.5156 -0.0575 -0.0689
-1.3479 8.4085 -0.0689
-1.3479 -1.5704 8.2608
Sm Ga Ni
12 6 1
Cartesian
5.6042 4.0675 3.4561
1.7932 5.9448 4.6196
3.1709 2.3005 6.6746
0.2157 2.7131 4.6668
4.0267 0.8358 3.5033
2.6490 4.4801 1.4484
-1.1740 7.6307 2.5414
-1.9006 4.2795 7.6724
4.5181 7.7686 0.1609
6.9939 -0.8501 5.5816
7.7205 2.5011 0.4506
1.3018 -0.9881 7.9620
4.2807 6.6717 2.9734
4.7556 2.2866 1.0273
-0.1257 4.7919 2.4333
1.5392 0.1089 5.1496
1.0643 4.4940 7.0956
5.9456 1.9887 5.6896
0.0000 0.0000 0.0000
```

***

(5)
The following is a DFT calculation (PBE) of a relaxed structure of Sm6GaNi2.

DOS at the Fermi energy: 17.61 states/eV/cell
formation energy from the elements: -0.30 eV per atom
space group: No. 71

Geometry as POSCAR:
```
Sm6GaNi2
1.0
8.0369 -0.0796 -2.7968
-4.3558 6.9032 -2.4069
0.0386 0.0796 8.5095
Sm Ga Ni
12 2 4
Cartesian
1.2078 4.9438 3.7709
2.5120 1.9594 -0.4650
-0.3592 2.0390 5.9860
4.0790 4.8642 -2.6802
3.1694 5.2661 0.7698
0.5503 1.6371 2.5361
-1.7425 5.3457 5.7772
5.4623 1.5575 -2.4713
3.9907 2.5204 2.9229
-0.2709 4.3829 0.3830
-1.7734 6.8130 2.5068
5.4931 0.0902 0.7991
-2.1586 3.4914 3.0513
0.0000 0.0000 0.0000
2.3990 2.6507 5.1730
1.3208 4.2525 -1.8671
5.2513 0.0000 3.7148
2.8243 0.0000 1.9979
```

***

(6)
The following is a DFT calculation (PBE) of a relaxed structure of Sm12GaNi5.

DOS at the Fermi energy: 16.53 states/eV/cell
formation energy from the elements: -0.27 eV per atom
space group: No. 71

Geometry as POSCAR:
```
Sm12GaNi5
1.0
-0.4824 5.2599 -6.6110
-6.4014 -5.5241 -0.3330
-0.6423 4.1088 7.3695
Sm Ga Ni
12 1 5
Cartesian
-5.9508 1.1193 1.4543
-1.5753 2.7253 -1.0288
-2.0342 6.5480 -0.7193
-5.4919 -2.7034 1.1448
-4.8966 1.4520 -2.0902
-2.6295 2.3926 2.5157
-5.0990 1.8964 4.9827
-2.4271 1.9482 -4.5571
-4.7213 4.1977 0.2239
-2.8048 -0.3530 0.2016
-6.8292 -1.1617 4.2220
-0.6969 5.0063 -3.7964
-3.5219 -0.7076 3.5183
-4.3764 -0.1679 -4.4146
-2.5074 -0.0962 -2.5293
-1.4399 4.5080 1.2560
-6.0862 -0.6634 -0.8304
0.0000 0.0000 0.0000
```

***

(7)
The following is a DFT calculation (PBE) of a relaxed structure of SmGa3Ni.

DOS at the Fermi energy: 3.87 states/eV/cell
formation energy from the elements: -0.54 eV per atom
space group: No. 99

Geometry as POSCAR:
```
SmGa3Ni
1.0
-3.9532 -1.3365 -0.1419
0.3554 -0.6143 -4.1147
1.6276 -4.9071 0.8732
Sm Ga Ni
1 3 1
Cartesian
-0.4097 -5.1637 -1.3830
1.0594 -3.1940 0.5684
-1.4389 -2.2892 0.2175
0.7154 -1.9282 -1.7689
0.1605 -0.4840 0.0861
```

***

(8)
The following is a DFT calculation (PBE) of a relaxed structure of SmGa4Ni.

DOS at the Fermi energy: 4.84 states/eV/cell
formation energy from the elements: -0.55 eV per atom
space group: No. 11

Geometry as POSCAR:
```
SmGa4Ni
1.0
-1.5720 3.3578 1.8397
-4.4316 -3.7963 3.1423
5.7569 -2.6045 4.9725
Ni Ga Sm
2 8 2
Cartesian
1.6321 -1.4609 4.0314
-1.8787 -1.5820 5.9231
2.0885 0.8980 4.7714
-2.3351 -3.9410 5.1831
-0.5891 -2.4453 3.9451
0.3425 -0.5977 6.0094
-2.2158 -1.8981 1.5711
0.0000 0.0000 0.0000
3.1366 -1.7409 5.8149
-3.3832 -1.3020 4.1396
0.4834 -3.5540 6.8720
-0.7300 0.5110 3.0824
```

***

(9)
The following is a DFT calculation (PBE) of a relaxed structure of Sm11Ga9Ni4.

DOS at the Fermi energy: 16.83 states/eV/cell
formation energy from the elements: -0.55 eV per atom
space group: No. 65

Geometry as POSCAR:
```
Sm11Ga9Ni4
1.0
3.6562 0.0000 0.0000
0.0000 11.6390 -4.9261
0.0000 0.0441 12.6385
Sm Ga Ni
11 9 4
Cartesian
0.0000 6.8728 8.8558
0.0000 4.8103 -1.1435
0.0000 10.8443 2.8397
0.0000 0.8389 4.8727
0.0000 7.2998 1.6472
0.0000 4.3833 6.0652
0.0000 9.6978 -1.9854
0.0000 1.9854 9.6978
0.0000 0.0000 0.0000
0.0000 8.0683 5.3261
0.0000 3.6149 2.3863
1.8281 7.3417 -0.9789
1.8281 4.3414 8.6913
1.8281 1.9850 7.1358
1.8281 9.6981 0.5766
1.8281 9.1258 7.7644
1.8281 2.5573 -0.0520
1.8281 10.7260 5.3403
1.8281 0.9571 2.3720
1.8281 5.8416 3.8562
1.8281 6.4755 6.8504
1.8281 5.2077 0.8619
1.8281 8.8440 3.2624
1.8281 2.8391 4.4500
```

***

(10)
The following is a DFT calculation (PBE) of a relaxed structure of Sm3GaNi8.

DOS at the Fermi energy: 9.84 states/eV/cell
formation energy from the elements: -0.37 eV per atom
space group: No. 160

Geometry as POSCAR:
```
Sm3GaNi8
1.0
0.5263 -1.0894 4.9056
0.6941 -4.7855 1.4648
8.5521 -0.9777 1.4673
Sm Ga Ni
3 1 8
Cartesian
7.8822 -3.0656 3.6775
1.4461 -5.8477 6.3522
4.7274 -3.4454 3.9316
4.4947 -5.4807 6.1066
2.4081 -3.2937 5.5261
6.7011 -5.6400 4.5404
2.1428 -2.7445 3.0526
6.9628 -6.1818 6.9802
3.9317 -1.5339 1.8395
8.8259 -4.9592 5.7577
2.4928 -5.1574 3.7912
6.6176 -3.8018 6.2517
```

***

(11)
The following is a DFT calculation (PBE) of a relaxed structure of Sm2Ga9Ni3.

DOS at the Fermi energy: 10.02 states/eV/cell
formation energy from the elements: -0.50 eV per atom
space group: No. 15

Geometry as POSCAR:
```
Sm2Ga9Ni3
1.0
6.9051 -0.0168 -2.8939
-4.0552 6.2937 -0.0198
0.3626 0.2432 10.4905
Sm Ga Ni
4 18 6
Cartesian
1.5632 1.7425 6.8868
1.6494 4.7777 0.6900
4.8077 3.8434 4.9745
-1.5951 2.6768 2.6023
-0.2942 5.9476 6.5176
3.5068 0.5725 1.0592
2.0168 4.6257 5.9303
1.1958 1.8944 1.6465
0.8629 4.2746 8.4455
2.3497 2.2455 -0.8687
-0.4450 3.4251 5.3363
3.6576 3.0950 2.2405
5.8139 0.9695 5.3262
-2.6013 5.5506 2.2506
-2.7440 6.4061 9.5001
5.9566 0.1140 -1.9233
3.1646 1.2997 4.2788
0.0480 5.2204 3.2980
2.8002 5.5121 3.4166
0.4124 1.0080 4.1602
4.5164 2.1564 7.4779
-1.3037 4.3637 0.0989
3.4526 -0.0084 -1.4469
1.6063 3.2601 3.7884
5.2760 1.1681 2.8113
-2.0634 5.3520 4.7655
-0.1994 2.1227 -0.4880
3.4120 4.3974 8.0648
```

***

(12)
The following is a DFT calculation (PBE) of a relaxed structure of Sm3GaNi2.

DOS at the Fermi energy: 23.86 states/eV/cell
formation energy from the elements: -0.39 eV per atom
space group: No. 14

Geometry as POSCAR:
```
Sm3GaNi2
1.0
5.2775 0.0000 -1.8262
0.0000 11.5703 0.0000
0.5405 0.0000 8.8502
Sm Ga Ni
12 4 8
Cartesian
1.3630 10.4618 -0.4681
1.5460 4.6767 3.9801
4.4550 1.1084 7.4921
4.2720 6.8936 3.0439
1.6756 6.4277 0.4113
1.2334 0.6425 3.1007
4.1424 5.1426 6.6127
4.5845 10.9278 3.9233
4.5473 8.8859 0.1355
3.6392 3.1008 1.5503
1.2707 2.6843 6.8885
2.1788 8.4695 5.4737
2.3650 9.3669 2.3193
0.5440 3.5818 1.1927
3.4530 2.2033 4.7047
5.2739 7.9885 5.8313
3.4329 11.5435 1.3436
4.7535 5.7584 0.3423
2.3850 0.0267 5.6804
1.0644 5.8119 6.6817
1.2887 7.3080 3.0853
1.6203 1.5229 0.4267
4.5293 4.2622 3.9387
4.1976 10.0474 6.5973
```

***

What did the seventh record say?
The following is a DFT calculation (PBE) of a relaxed structure of SmGa3Ni.

DOS at the Fermi energy: 3.87 states/eV/cell
formation energy from the elements: -0.54 eV per atom
space group: No. 99

Geometry as POSCAR:
```
SmGa3Ni
1.0
-3.9532 -1.3365 -0.1419
0.3554 -0.6143 -4.1147
1.6276 -4.9071 0.8732
Sm Ga Ni
1 3 1
Cartesian
-0.4097 -5.1637 -1.3830
1.0594 -3.1940 0.5684
-1.4389 -2.2892 0.2175
0.7154 -1.9282 -1.7689
0.1605 -0.4840 0.0861
```

***

Q: The highest formation energy from the elements belongs to which entry?
A: Sm12Ga6Ni

***

Q: Which of these has the highest formation energy from the elements?
A: Sm12Ga6Ni

***

Q: What is the DOS at the Fermi energy in the eleventh record?
A: 10.02 states/eV/cell